No. 1
Material: DyHg
Method: DFT, PBEsol
State: optimized geometry

Summary:
calculated formation energy = -1.15 eV/f.u.
Fermi-level density of states = 1.054 states/eV per atom

Cell and atoms, written as CIF:
```
data_DyHg
_space_group_name_H-M_alt 'P m -3 m'
_space_group_IT_number 221
_space_group_name_Hall '-P 4 2 3'
_cell_length_a 3.651
_cell_length_b 3.651
_cell_length_c 3.651
_cell_angle_alpha 90.00
_cell_angle_beta 90.00
_cell_angle_gamma 90.00
loop_
_atom_site_label
_atom_site_type_symbol
_atom_site_fract_x
_atom_site_fract_y
_atom_site_fract_z
Dy1 Dy 0.000 0.000 0.000
Hg1 Hg 0.500 0.500 0.500
```

No. 2
Material: HgTeSe
Method: DFT, PBEsol
State: optimized geometry

Summary:
raw formation energy = 0.40 eV per atom
Fermi-level density of states = 1.323 states/eV per atom

Cell and atoms, written as CIF:
```
data_HgTeSe
_space_group_name_H-M_alt 'F -4 3 m'
_space_group_IT_number 216
_space_group_name_Hall 'F -4 2 3'
_cell_length_a 6.928
_cell_length_b 6.928
_cell_length_c 6.928
_cell_angle_alpha 90.00
_cell_angle_beta 90.00
_cell_angle_gamma 90.00
loop_
_atom_site_label
_atom_site_type_symbol
_atom_site_fract_x
_atom_site_fract_y
_atom_site_fract_z
Hg1 Hg 0.000 0.000 0.000
Te1 Te 0.000 0.000 0.500
Se1 Se 0.250 0.250 0.250
```

No. 3
Material: Ba2CdCu
Method: DFT, PBEsol
State: optimized geometry

Summary:
calculated formation energy = -0.32 eV/f.u.
Fermi-level density of states = 0.843 states/eV per atom

Cell and atoms, written as CIF:
```
data_Ba2CdCu
_space_group_name_H-M_alt 'A m m 2'
_space_group_IT_number 38
_cell_length_a 4.793
_cell_length_b 4.737
_cell_length_c 12.216
_cell_angle_alpha 90.00
_cell_angle_beta 90.00
_cell_angle_gamma 90.00
loop_
_space_group_symop_operation_xyz
'x,y,z'
'-x,-y,z'
'-x,y,z'
'x,-y,z'
'x,y+1/2,z+1/2'
'-x,-y+1/2,z+1/2'
'-x,y+1/2,z+1/2'
'x,-y+1/2,z+1/2'
loop_
_atom_site_label
_atom_site_type_symbol
_atom_site_fract_x
_atom_site_fract_y
_atom_site_fract_z
Ba1 Ba 0.000 0.000 0.000
Ba2 Ba 0.500 0.000 0.285
Cd1 Cd 0.000 0.000 0.700
Cu1 Cu 0.500 0.000 0.590
```

No. 4
Material: Y3Tc
Method: DFT, PBEsol
State: optimized geometry

Summary:
calculated formation energy = -0.25 eV/f.u.
Fermi-level density of states = 0.862 states/eV per atom

Cell and atoms, written as CIF:
```
data_Y3Tc
_space_group_name_H-M_alt 'P n m a'
_space_group_IT_number 62
_cell_length_a 7.339
_cell_length_b 9.062
_cell_length_c 6.184
_cell_angle_alpha 90.00
_cell_angle_beta 90.00
_cell_angle_gamma 90.00
loop_
_space_group_symop_operation_xyz
'x,y,z'
'-x,-y,-z'
'-x+1/2,-y,z+1/2'
'x+1/2,y,-z+1/2'
'x+1/2,-y+1/2,-z+1/2'
'-x+1/2,y+1/2,z+1/2'
'-x,y+1/2,-z'
'x,-y+1/2,z'
loop_
_atom_site_label
_atom_site_type_symbol
_atom_site_fract_x
_atom_site_fract_y
_atom_site_fract_z
Y1 Y 0.043 0.250 0.129
Y2 Y 0.177 0.064 0.658
Tc1 Tc 0.114 0.750 0.458
```

No. 5
Material: NiIr2Ru
Method: DFT, PBEsol
State: optimized geometry

Summary:
calculated formation energy = 0.10 eV/f.u.
Fermi-level density of states = 1.265 states/eV per atom

Cell and atoms, written as CIF:
```
data_NiIr2Ru
_space_group_name_H-M_alt 'I 4/m m m'
_space_group_IT_number 139
_space_group_name_Hall '-I 4 2'
_cell_length_a 3.721
_cell_length_b 3.721
_cell_length_c 7.545
_cell_angle_alpha 90.00
_cell_angle_beta 90.00
_cell_angle_gamma 90.00
loop_
_atom_site_label
_atom_site_type_symbol
_atom_site_fract_x
_atom_site_fract_y
_atom_site_fract_z
Ni1 Ni 0.000 0.000 0.000
Ir1 Ir 0.000 0.500 0.250
Ru1 Ru 0.000 0.000 0.500
```

No. 6
Material: Te2PdO
Method: DFT, PBEsol
State: optimized geometry

Summary:
raw formation energy = 0.16 eV per atom
Fermi-level density of states = 0.573 states/eV per atom

Cell and atoms, written as CIF:
```
data_Te2PdO
_space_group_name_H-M_alt 'R -3 m'
_space_group_IT_number 166
_space_group_name_Hall '-R 3 2"'
_cell_length_a 3.0984
_cell_length_b 3.0984
_cell_length_c 26.4257
_cell_angle_alpha 90.00
_cell_angle_beta 90.00
_cell_angle_gamma 120.00
loop_
_atom_site_label
_atom_site_type_symbol
_atom_site_fract_x
_atom_site_fract_y
_atom_site_fract_z
Te1 Te 0.0000 0.0000 0.0985
Pd1 Pd 0.0000 0.0000 0.0000
O1 O 0.0000 0.0000 0.5000
```

No. 7
Material: CoCuTeN2
Method: DFT, PBEsol
State: optimized geometry

Summary:
raw formation energy = 1.62 eV per atom
Fermi-level density of states = 1.118 states/eV per atom

Cell and atoms, written as CIF:
```
data_CoCuTeN2
_space_group_name_H-M_alt 'P 4/m m m'
_space_group_IT_number 123
_space_group_name_Hall '-P 4 2'
_cell_length_a 3.660
_cell_length_b 3.660
_cell_length_c 5.489
_cell_angle_alpha 90.00
_cell_angle_beta 90.00
_cell_angle_gamma 90.00
loop_
_atom_site_label
_atom_site_type_symbol
_atom_site_fract_x
_atom_site_fract_y
_atom_site_fract_z
Co1 Co 0.000 0.000 0.000
Cu1 Cu 0.500 0.500 0.500
Te1 Te 0.500 0.500 0.000
N1 N 0.000 0.500 0.500
```

No. 8
Material: KBi2Pb
Method: DFT, PBEsol
State: optimized geometry

Summary:
calculated formation energy = -0.15 eV/f.u.
Fermi-level density of states = 0.671 states/eV per atom

Cell and atoms, written as CIF:
```
data_KBi2Pb
_space_group_name_H-M_alt 'I -4 2 d'
_space_group_IT_number 122
_space_group_name_Hall 'I -4 2bw'
_cell_length_a 9.172
_cell_length_b 9.172
_cell_length_c 6.679
_cell_angle_alpha 90.00
_cell_angle_beta 90.00
_cell_angle_gamma 90.00
loop_
_atom_site_label
_atom_site_type_symbol
_atom_site_fract_x
_atom_site_fract_y
_atom_site_fract_z
K1 K 0.000 0.000 0.000
Bi1 Bi 0.213 0.250 0.625
Pb1 Pb 0.000 0.000 0.500
```

No. 9
Material: CsGeB3O7
Method: DFT, PBEsol
State: optimized geometry

Summary:
raw formation energy = -2.26 eV per atom
Fermi-level density of states = 0.000 states/eV per atom

Cell and atoms, written as CIF:
```
data_CsGeB3O7
_space_group_name_H-M_alt 'P n a 21'
_space_group_IT_number 33
_cell_length_a 9.563
_cell_length_b 9.808
_cell_length_c 7.029
_cell_angle_alpha 90.00
_cell_angle_beta 90.00
_cell_angle_gamma 90.00
loop_
_space_group_symop_operation_xyz
'x,y,z'
'-x,-y,z+1/2'
'-x+1/2,y+1/2,z+1/2'
'x+1/2,-y+1/2,z'
loop_
_atom_site_label
_atom_site_type_symbol
_atom_site_fract_x
_atom_site_fract_y
_atom_site_fract_z
Cs1 Cs 0.001 0.173 0.000
Ge1 Ge 0.230 0.609 0.986
B1 B 0.038 0.281 0.451
B2 B 0.152 0.434 0.691
B3 B 0.174 0.490 0.360
O1 O 0.072 0.324 0.646
O2 O 0.091 0.383 0.311
O3 O 0.100 0.147 0.412
O4 O 0.113 0.738 0.928
O5 O 0.187 0.450 0.879
O6 O 0.202 0.522 0.551
O7 O 0.239 0.577 0.233
```

No. 10
Material: ZnNiIr2
Method: DFT, PBEsol
State: optimized geometry

Summary:
calculated formation energy = -0.11 eV/f.u.
Fermi-level density of states = 1.522 states/eV per atom

Cell and atoms, written as CIF:
```
data_ZnNiIr2
_space_group_name_H-M_alt 'R -3 m'
_space_group_IT_number 166
_space_group_name_Hall '-R 3 2"'
_cell_length_a 2.6962
_cell_length_b 2.6962
_cell_length_c 24.9743
_cell_angle_alpha 90.00
_cell_angle_beta 90.00
_cell_angle_gamma 120.00
loop_
_atom_site_label
_atom_site_type_symbol
_atom_site_fract_x
_atom_site_fract_y
_atom_site_fract_z
Zn1 Zn 0.0000 0.0000 0.0000
Ni1 Ni 0.0000 0.0000 0.5000
Ir1 Ir 0.0000 0.0000 0.2472
```

No. 11
Material: HfCr3Rh
Method: DFT, PBEsol
State: optimized geometry

Summary:
calculated formation energy = 6.50 eV/f.u.
Fermi-level density of states = 1.496 states/eV per atom

Cell and atoms, written as CIF:
```
data_HfCr3Rh
_space_group_name_H-M_alt 'P m -3 m'
_space_group_IT_number 221
_space_group_name_Hall '-P 4 2 3'
_cell_length_a 4.436
_cell_length_b 4.436
_cell_length_c 4.436
_cell_angle_alpha 90.00
_cell_angle_beta 90.00
_cell_angle_gamma 90.00
loop_
_atom_site_label
_atom_site_type_symbol
_atom_site_fract_x
_atom_site_fract_y
_atom_site_fract_z
Hf1 Hf 0.000 0.000 0.000
Cr1 Cr 0.000 0.500 0.500
Rh1 Rh 0.500 0.500 0.500
```

No. 12
Material: LiHg2Cl
Method: DFT, PBEsol
State: optimized geometry

Summary:
raw formation energy = -0.50 eV per atom
Fermi-level density of states = 0.065 states/eV per atom

Cell and atoms, written as CIF:
```
data_LiHg2Cl
_space_group_name_H-M_alt 'F -4 3 m'
_space_group_IT_number 216
_space_group_name_Hall 'F -4 2 3'
_cell_length_a 7.189
_cell_length_b 7.189
_cell_length_c 7.189
_cell_angle_alpha 90.00
_cell_angle_beta 90.00
_cell_angle_gamma 90.00
loop_
_atom_site_label
_atom_site_type_symbol
_atom_site_fract_x
_atom_site_fract_y
_atom_site_fract_z
Li1 Li 0.000 0.000 0.000
Hg1 Hg 0.000 0.000 0.500
Hg2 Hg 0.250 0.250 0.250
Cl1 Cl 0.250 0.250 0.750
```

No. 13
Material: Ta2NbCrBr
Method: DFT, PBEsol
State: optimized geometry

Summary:
raw formation energy = 1.56 eV per atom
Fermi-level density of states = 1.286 states/eV per atom

Cell and atoms, written as CIF:
```
data_Ta2NbCrBr
_space_group_name_H-M_alt 'P 4/m m m'
_space_group_IT_number 123
_space_group_name_Hall '-P 4 2'
_cell_length_a 4.666
_cell_length_b 4.666
_cell_length_c 4.668
_cell_angle_alpha 90.00
_cell_angle_beta 90.00
_cell_angle_gamma 90.00
loop_
_atom_site_label
_atom_site_type_symbol
_atom_site_fract_x
_atom_site_fract_y
_atom_site_fract_z
Ta1 Ta 0.000 0.500 0.000
Nb1 Nb 0.000 0.000 0.500
Cr1 Cr 0.500 0.500 0.500
Br1 Br 0.000 0.000 0.000
```

No. 14
Material: ScHgIr2
Method: DFT, PBEsol
State: optimized geometry

Summary:
calculated formation energy = -0.96 eV/f.u.
Fermi-level density of states = 0.520 states/eV per atom

Cell and atoms, written as CIF:
```
data_ScHgIr2
_space_group_name_H-M_alt 'P 4/m m m'
_space_group_IT_number 123
_space_group_name_Hall '-P 4 2'
_cell_length_a 3.230
_cell_length_b 3.230
_cell_length_c 6.320
_cell_angle_alpha 90.00
_cell_angle_beta 90.00
_cell_angle_gamma 90.00
loop_
_atom_site_label
_atom_site_type_symbol
_atom_site_fract_x
_atom_site_fract_y
_atom_site_fract_z
Sc1 Sc 0.000 0.000 0.000
Hg1 Hg 0.000 0.000 0.500
Ir1 Ir 0.500 0.500 0.240
```

No. 15
Material: CdBrCl3
Method: DFT, PBEsol
State: optimized geometry

Summary:
raw formation energy = 0.17 eV per atom
Fermi-level density of states = 1.044 states/eV per atom

Cell and atoms, written as CIF:
```
data_CdBrCl3
_space_group_name_H-M_alt 'P m -3 m'
_space_group_IT_number 221
_space_group_name_Hall '-P 4 2 3'
_cell_length_a 5.150
_cell_length_b 5.150
_cell_length_c 5.150
_cell_angle_alpha 90.00
_cell_angle_beta 90.00
_cell_angle_gamma 90.00
loop_
_atom_site_label
_atom_site_type_symbol
_atom_site_fract_x
_atom_site_fract_y
_atom_site_fract_z
Cd1 Cd 0.000 0.000 0.000
Br1 Br 0.500 0.500 0.500
Cl1 Cl 0.000 0.500 0.500
```

No. 16
Material: NaRu4O8
Method: DFT, PBEsol
State: optimized geometry

Summary:
raw formation energy = -1.10 eV per atom
Fermi-level density of states = 0.377 states/eV per atom

Cell and atoms, written as CIF:
```
data_NaRu4O8
_space_group_name_H-M_alt 'I 4/m'
_space_group_IT_number 87
_space_group_name_Hall '-I 4'
_cell_length_a 9.376
_cell_length_b 9.376
_cell_length_c 3.077
_cell_angle_alpha 90.00
_cell_angle_beta 90.00
_cell_angle_gamma 90.00
loop_
_atom_site_label
_atom_site_type_symbol
_atom_site_fract_x
_atom_site_fract_y
_atom_site_fract_z
Na1 Na 0.000 0.000 0.000
Ru1 Ru 0.159 0.681 0.000
O1 O 0.050 0.338 0.000
O2 O 0.130 0.822 0.500
```

No. 17
Material: BiSeIO2
Method: DFT, PBEsol
State: optimized geometry

Summary:
raw formation energy = -0.09 eV per atom
Fermi-level density of states = 0.509 states/eV per atom

Cell and atoms, written as CIF:
```
data_BiSeIO2
_space_group_name_H-M_alt 'P 4/m m m'
_space_group_IT_number 123
_space_group_name_Hall '-P 4 2'
_cell_length_a 4.153
_cell_length_b 4.153
_cell_length_c 6.826
_cell_angle_alpha 90.00
_cell_angle_beta 90.00
_cell_angle_gamma 90.00
loop_
_atom_site_label
_atom_site_type_symbol
_atom_site_fract_x
_atom_site_fract_y
_atom_site_fract_z
Bi1 Bi 0.000 0.000 0.000
Se1 Se 0.500 0.500 0.500
I1 I 0.000 0.000 0.500
O1 O 0.000 0.500 0.000
```

No. 18
Material: Rb2CdCoPd
Method: DFT, PBEsol
State: optimized geometry

Summary:
calculated formation energy = 3.75 eV/f.u.
Fermi-level density of states = 1.051 states/eV per atom

Cell and atoms, written as CIF:
```
data_Rb2CdCoPd
_space_group_name_H-M_alt 'P 4/m m m'
_space_group_IT_number 123
_space_group_name_Hall '-P 4 2'
_cell_length_a 6.191
_cell_length_b 6.191
_cell_length_c 4.573
_cell_angle_alpha 90.00
_cell_angle_beta 90.00
_cell_angle_gamma 90.00
loop_
_atom_site_label
_atom_site_type_symbol
_atom_site_fract_x
_atom_site_fract_y
_atom_site_fract_z
Rb1 Rb 0.000 0.500 0.000
Cd1 Cd 0.000 0.000 0.500
Co1 Co 0.500 0.500 0.000
Pd1 Pd 0.500 0.500 0.500
```

No. 19
Material: KAgF2
Method: DFT, PBEsol
State: optimized geometry

Summary:
raw formation energy = -1.73 eV per atom

Cell and atoms, written as CIF:
```
data_KAgF2
_space_group_name_H-M_alt 'I -4 2 d'
_space_group_IT_number 122
_space_group_name_Hall 'I -4 2bw'
_cell_length_a 6.385
_cell_length_b 6.385
_cell_length_c 7.019
_cell_angle_alpha 90.00
_cell_angle_beta 90.00
_cell_angle_gamma 90.00
loop_
_atom_site_label
_atom_site_type_symbol
_atom_site_fract_x
_atom_site_fract_y
_atom_site_fract_z
K1 K 0.000 0.000 0.000
Ag1 Ag 0.000 0.000 0.500
F1 F 0.219 0.250 0.625
```

No. 20
Material: Mo5W11
Method: DFT, PBEsol
State: optimized geometry

Summary:
calculated formation energy = 0.04 eV/f.u.
Fermi-level density of states = 0.568 states/eV per atom

Cell and atoms, written as CIF:
```
data_Mo5W11
_space_group_name_H-M_alt 'P 1 m 1'
_space_group_IT_number 6
_cell_length_a 6.290
_cell_length_b 6.291
_cell_length_c 6.292
_cell_angle_alpha 90.00
_cell_angle_beta 90.01
_cell_angle_gamma 90.00
loop_
_space_group_symop_operation_xyz
'x,y,z'
'x,-y,z'
loop_
_atom_site_label
_atom_site_type_symbol
_atom_site_fract_x
_atom_site_fract_y
_atom_site_fract_z
Mo1 Mo 0.000 0.000 0.000
Mo2 Mo 0.000 0.500 0.499
Mo3 Mo 0.249 0.250 0.249
Mo4 Mo 0.499 0.000 0.000
W1 W 0.000 0.000 0.499
W2 W 0.000 0.500 0.000
W3 W 0.249 0.250 0.750
W4 W 0.499 0.000 0.499
W5 W 0.499 0.500 0.000
W6 W 0.499 0.500 0.499
W7 W 0.750 0.250 0.249
W8 W 0.750 0.250 0.750
```